No. 1
## KTa2Be (PBE)

Data for a geometry-optimized KTa2Be structure. Values from VASP.

Cell and atoms, written as Quantum ESPRESSO input:
```
&SYSTEM
  ibrav = 0, nat = 4, ntyp = 3
/
ATOMIC_SPECIES
K 39.10 K.upf
Ta 180.95 Ta.upf
Be 9.01 Be.upf
ATOMIC_POSITIONS crystal
K 0.0000 0.0000 0.0000
Ta 0.0000 0.0000 0.5546
Ta 0.5000 0.5000 0.3309
Be 0.5000 0.5000 0.7260
CELL_PARAMETERS angstrom
1.7926 -2.2256 0.0000
1.7926 2.2256 0.0000
0.0000 0.0000 10.1123
```

Calculated values
mass density: 8.44 g/cm³
total DFT energy (no corrections): -6.446 eV/atom
M_tot: 0.00 μB per formula unit
density of states at the Fermi level: 0.8823 states/eV/atom
V: 80.7 Å³ per cell


No. 2
## KTa2Be2 (PBE)

Data for a geometry-optimized KTa2Be2 structure. Values from VASP.

Cell and atoms, written as Quantum ESPRESSO input:
```
&SYSTEM
  ibrav = 0, nat = 5, ntyp = 3
/
ATOMIC_SPECIES
K 39.10 K.upf
Ta 180.95 Ta.upf
Be 9.01 Be.upf
ATOMIC_POSITIONS crystal
K 0.0000 0.0000 0.0000
Ta 0.3315 0.3315 0.0000
Ta 0.6685 0.6685 0.0000
Be 0.2500 0.7500 0.5000
Be 0.7500 0.2500 0.5000
CELL_PARAMETERS angstrom
-2.2092 2.2092 5.1416
2.2092 -2.2092 5.1416
2.2092 2.2092 -5.1416
```

Calculated values
mass density: 6.93 g/cm³
relative energy among the computed polymorphs: 2.18 eV per formula unit
total DFT energy (no corrections): -5.278 eV/atom
M_tot: 0.68 μB per formula unit
density of states at the Fermi level: 0.7547 states/eV/atom
V: 100.4 Å³ per cell


No. 3
## K2TaBe (PBE)

Data for a geometry-optimized K2TaBe structure. Values from VASP.

Cell and atoms, written as Quantum ESPRESSO input:
```
&SYSTEM
  ibrav = 0, nat = 4, ntyp = 3
/
ATOMIC_SPECIES
K 39.10 K.upf
Ta 180.95 Ta.upf
Be 9.01 Be.upf
ATOMIC_POSITIONS crystal
K 0.0000 0.0000 0.0000
K 0.5000 0.5000 0.0000
Ta 0.0000 0.5000 0.5000
Be 0.5000 0.0000 0.5000
CELL_PARAMETERS angstrom
2.8923 0.0000 0.0000
0.0000 5.2923 0.0000
0.0000 0.0000 6.2012
```

Calculated values
mass density: 4.69 g/cm³
total DFT energy (no corrections): -2.989 eV/atom
M_tot: 1.31 μB per formula unit
density of states at the Fermi level: 0.8888 states/eV/atom
V: 94.9 Å³ per cell


No. 4
## KTaBe (PBE)

Data for a geometry-optimized KTaBe structure. Values from VASP.

Cell and atoms, written as Quantum ESPRESSO input:
```
&SYSTEM
  ibrav = 0, nat = 6, ntyp = 3
/
ATOMIC_SPECIES
K 39.10 K.upf
Ta 180.95 Ta.upf
Be 9.01 Be.upf
ATOMIC_POSITIONS crystal
K 0.0000 0.0000 0.0000
K 0.5000 0.3300 0.3300
Ta 0.0000 0.1876 0.1876
Ta 0.5000 0.6874 0.6874
Be 0.0000 0.6216 0.6216
Be 0.5000 0.1214 0.1214
CELL_PARAMETERS angstrom
3.9170 0.0000 0.0000
0.0000 1.9411 11.7664
0.0000 -1.9411 11.7664
```

Calculated values
mass density: 4.25 g/cm³
relative energy among the computed polymorphs: 0.44 eV per formula unit
total DFT energy (no corrections): -5.026 eV/atom
M_tot: 0.00 μB per formula unit
density of states at the Fermi level: 0.1672 states/eV/atom
V: 178.9 Å³ per cell


No. 5
## K2TaBe (PBE)

Data for a geometry-optimized K2TaBe structure. Values from VASP.

Cell and atoms, written as Quantum ESPRESSO input:
```
&SYSTEM
  ibrav = 0, nat = 4, ntyp = 3
/
ATOMIC_SPECIES
K 39.10 K.upf
Ta 180.95 Ta.upf
Be 9.01 Be.upf
ATOMIC_POSITIONS crystal
K 0.0000 0.0000 0.0000
K 0.2146 0.2146 0.2146
Ta 0.7606 0.7606 0.7606
Be 0.4729 0.4729 0.4729
CELL_PARAMETERS angstrom
1.6538 0.9548 11.5133
-1.6538 0.9548 11.5133
0.0000 -1.9096 11.5133
```

Calculated values
mass density: 4.08 g/cm³
total DFT energy (no corrections): -3.401 eV/atom
M_tot: 0.00 μB per formula unit
density of states at the Fermi level: 0.6062 states/eV/atom
V: 109.1 Å³ per cell


No. 6
## KTaBe (PBE)

Data for a geometry-optimized KTaBe structure. Values from VASP.

Cell and atoms, written as Quantum ESPRESSO input:
```
&SYSTEM
  ibrav = 0, nat = 3, ntyp = 3
/
ATOMIC_SPECIES
K 39.10 K.upf
Ta 180.95 Ta.upf
Be 9.01 Be.upf
ATOMIC_POSITIONS crystal
K 0.0000 0.0000 0.0000
Ta 0.7500 0.7500 0.7500
Be 0.2500 0.2500 0.2500
CELL_PARAMETERS angstrom
0.0000 3.2400 3.2400
3.2400 0.0000 3.2400
3.2400 3.2400 0.0000
```

Calculated values
mass density: 5.59 g/cm³
relative energy among the computed polymorphs: 7.36 eV per formula unit
total DFT energy (no corrections): -2.719 eV/atom
M_tot: 0.00 μB per formula unit
density of states at the Fermi level: 0.3876 states/eV/atom
V: 68.0 Å³ per cell


No. 7
## KTa2Be (PBE)

Data for a geometry-optimized KTa2Be structure. Values from VASP.

Cell and atoms, written as Quantum ESPRESSO input:
```
&SYSTEM
  ibrav = 0, nat = 4, ntyp = 3
/
ATOMIC_SPECIES
K 39.10 K.upf
Ta 180.95 Ta.upf
Be 9.01 Be.upf
ATOMIC_POSITIONS crystal
K 0.0000 0.0000 0.0000
Ta 0.5000 0.5000 0.3364
Ta 0.5000 0.5000 0.6636
Be 0.0000 0.0000 0.5000
CELL_PARAMETERS angstrom
2.8556 0.0000 0.0000
0.0000 2.8556 0.0000
0.0000 0.0000 9.8200
```

Calculated values
mass density: 8.50 g/cm³
total DFT energy (no corrections): -6.460 eV/atom
M_tot: 0.00 μB per formula unit
density of states at the Fermi level: 0.7247 states/eV/atom
V: 80.1 Å³ per cell


No. 8
## KTaBe (PBE)

Data for a geometry-optimized KTaBe structure. Values from VASP.

Cell and atoms, written as Quantum ESPRESSO input:
```
&SYSTEM
  ibrav = 0, nat = 3, ntyp = 3
/
ATOMIC_SPECIES
K 39.10 K.upf
Ta 180.95 Ta.upf
Be 9.01 Be.upf
ATOMIC_POSITIONS crystal
K 0.0000 0.0000 0.0000
Ta 0.2683 0.2683 0.0000
Be 0.6948 0.6948 0.0000
CELL_PARAMETERS angstrom
-1.3517 1.8833 6.7028
1.3517 -1.8833 6.7028
1.3517 1.8833 -6.7028
```

Calculated values
mass density: 5.57 g/cm³
relative energy among the computed polymorphs: 1.58 eV per formula unit
total DFT energy (no corrections): -4.645 eV/atom
M_tot: 0.00 μB per formula unit
density of states at the Fermi level: 0.9934 states/eV/atom
V: 68.3 Å³ per cell